Below is an optimized crystal structure of LiTmTa, with properties calculated at the PBE level.

**Space group**: F-43m
**Total moment**: 1.5 μB per cell
**Energy**: -4.5125 eV/atom

a b c (Å): 4.7585 4.7585 4.7585
angles (deg): 60.00 60.00 60.00
Closest atoms and distances in Å follow each position.
Atoms (fractional coordinates):
Li (0.2500, 0.2500, 0.2500)  4 Tm 2.91
Ta (0.7500, 0.7500, 0.7500)  4 Tm 2.91
Tm (0.0000, 0.0000, 0.0000)  4 Ta 2.91, 4 Li 2.91